Na2PtIO6 (PBE-GGA, relaxed); N(E_F) = 4.040 states/eV/f.u.; space-group type = P4mm (99); formation energy (no corrections) = -0.62 eV per atom
1.0
5.6559 0.0000 0.0000
0.0000 5.6559 0.0000
0.0000 0.0000 4.1614
Na Pt I O
2 1 1 6
direct
0.0000 0.5000 0.0000 Na
0.5000 0.0000 0.0000 Na
0.0000 0.0000 0.5741 Pt
0.5000 0.5000 0.5571 I
0.0000 0.0000 0.0868 O
0.2545 0.2545 0.6231 O
0.2545 0.7455 0.6231 O
0.5000 0.5000 0.1161 O
0.7455 0.2545 0.6231 O
0.7455 0.7455 0.6231 O